Computed, not measured: crystalline Ca3GaO4 at its relaxed geometry at the GGA-PBE level of DFT.

Cell: 7.849 6.760 4.885 Å, 90.00 90.00 90.00°
Atoms (fractional coordinates):
Ca  0.000  0.150  0.000
Ca  0.248  0.671  0.000
Ca  0.252  0.329  0.500
Ca  0.500  0.850  0.500
Ca  0.748  0.329  0.500
Ca  0.752  0.671  0.000
Ga  0.000  0.827  0.486
Ga  0.500  0.173  0.986
O  0.000  0.144  0.506
O  0.000  0.823  0.090
O  0.247  0.673  0.506
O  0.253  0.327  0.006
O  0.500  0.177  0.590
O  0.500  0.856  0.006
O  0.747  0.327  0.006
O  0.753  0.673  0.506

Properties
Space-group type: Pmn2_1, No. 31
Density (g/cm3): 3.3
Formation energy from raw total energies (eV/atom): -2.42

=====

Computed, not measured: crystalline CaGaO2 at its relaxed geometry at the GGA-PBE level of DFT.

Cell: 5.019 5.019 10.210 Å, 90.00 90.00 90.00°
Atoms (fractional coordinates):
Ca  0.000  0.000  0.000
Ca  0.000  0.500  0.250
Ca  0.500  0.000  0.750
Ca  0.500  0.500  0.500
Ga  0.000  0.000  0.500
Ga  0.000  0.500  0.750
Ga  0.500  0.000  0.250
Ga  0.500  0.500  0.000
O  0.211  0.250  0.625
O  0.250  0.711  0.875
O  0.250  0.789  0.375
O  0.289  0.250  0.125
O  0.711  0.750  0.125
O  0.750  0.211  0.375
O  0.750  0.289  0.875
O  0.789  0.750  0.625

Properties
Space-group type: I-42d, No. 122
Density (g/cm3): 3.7
Formation energy from raw total energies (eV/atom): -1.92

=====

Computed, not measured: crystalline Ca12Ga3O5 at its relaxed geometry at the GGA-PBE level of DFT.

Cell: 13.588 13.588 13.588 Å, 109.47 109.47 109.47°
Atoms (fractional coordinates):
Ca  0.016  0.200  0.117
Ca  0.016  0.316  0.899
Ca  0.083  0.700  0.684
Ca  0.083  0.883  0.399
Ca  0.101  0.617  0.417
Ca  0.101  0.984  0.684
Ca  0.117  0.016  0.200
Ca  0.117  0.601  0.917
Ca  0.184  0.200  0.583
Ca  0.184  0.484  0.601
Ca  0.200  0.117  0.016
Ca  0.200  0.583  0.184
Ca  0.300  0.316  0.917
Ca  0.300  0.484  0.383
Ca  0.316  0.899  0.016
Ca  0.316  0.917  0.300
Ca  0.383  0.300  0.484
Ca  0.383  0.583  0.899
Ca  0.399  0.083  0.883
Ca  0.399  0.816  0.516
Ca  0.417  0.101  0.617
Ca  0.417  0.816  0.800
Ca  0.484  0.383  0.300
Ca  0.484  0.601  0.184
Ca  0.516  0.399  0.816
Ca  0.516  0.617  0.700
Ca  0.583  0.184  0.200
Ca  0.583  0.899  0.383
Ca  0.601  0.184  0.484
Ca  0.601  0.917  0.117
Ca  0.617  0.417  0.101
Ca  0.617  0.700  0.516
Ca  0.684  0.083  0.700
Ca  0.684  0.101  0.984
Ca  0.700  0.516  0.617
Ca  0.700  0.684  0.083
Ca  0.800  0.417  0.816
Ca  0.800  0.883  0.984
Ca  0.816  0.516  0.399
Ca  0.816  0.800  0.417
Ca  0.883  0.399  0.083
Ca  0.883  0.984  0.800
Ca  0.899  0.016  0.316
Ca  0.899  0.383  0.583
Ca  0.917  0.117  0.601
Ca  0.917  0.300  0.316
Ca  0.984  0.684  0.101
Ca  0.984  0.800  0.883
Ga  0.125  0.250  0.375
Ga  0.125  0.375  0.750
Ga  0.250  0.375  0.125
Ga  0.250  0.875  0.625
Ga  0.375  0.125  0.250
Ga  0.375  0.750  0.125
Ga  0.625  0.250  0.875
Ga  0.625  0.875  0.750
Ga  0.750  0.125  0.375
Ga  0.750  0.625  0.875
Ga  0.875  0.625  0.250
Ga  0.875  0.750  0.625
O  0.000  0.000  0.000
O  0.000  0.000  0.500
O  0.000  0.500  0.000
O  0.000  0.500  0.500
O  0.125  0.750  0.875
O  0.125  0.875  0.250
O  0.250  0.125  0.875
O  0.250  0.625  0.375
O  0.375  0.250  0.625
O  0.375  0.625  0.750
O  0.500  0.000  0.000
O  0.500  0.000  0.500
O  0.500  0.500  0.000
O  0.500  0.500  0.500
O  0.625  0.375  0.250
O  0.625  0.750  0.375
O  0.750  0.375  0.625
O  0.750  0.875  0.125
O  0.875  0.125  0.750
O  0.875  0.250  0.125

Properties
Space-group type: Ia-3d, No. 230
Density (g/cm3): 2.6
Formation energy from raw total energies (eV/atom): -1.48

=====

Computed, not measured: crystalline CaGaO2 at its relaxed geometry at the GGA-PBE level of DFT.

Cell: 3.484 3.484 18.009 Å, 90.00 90.00 120.00°
Atoms (fractional coordinates):
Ca  0.000  0.000  0.000
Ca  0.333  0.667  0.667
Ca  0.667  0.333  0.333
Ga  0.000  0.000  0.500
Ga  0.333  0.667  0.167
Ga  0.667  0.333  0.833
O  0.000  0.000  0.400
O  0.000  0.000  0.600
O  0.333  0.667  0.067
O  0.333  0.667  0.267
O  0.667  0.333  0.733
O  0.667  0.333  0.933

Properties
Space-group type: R-3m, No. 166
Density (g/cm3): 3.7
Formation energy from raw total energies (eV/atom): -1.96

=====

> Which formula does entry 2 have?

CaGaO2

=====

> What is the density in the first record?

3.3 g/cm3